First-principles (GGA+U) data for a relaxed structure of BaVH2O4, as listed in Alexandria.

Output
energy: -50.0 eV per formula unit
DOS(E_F): 0.00 states/eV per atom

Structure (POSCAR):
```
BaVH2O4
1.0
-0.2796 0.9420 4.3610
2.7732 -3.1702 3.1538
3.9237 2.9417 1.9073
O V H Ba
4 1 2 1
Direct
0.3855 0.2229 0.4555 O
0.0638 0.7771 0.5445 O
0.6145 0.5445 0.7771 O
0.9362 0.4555 0.2229 O
0.5000 0.5000 0.5000 V
0.1598 0.3402 0.3402 H
0.8402 0.6598 0.6598 H
0.0000 0.0000 0.0000 Ba
```